Record 1
# Tb7Mg3Cd (PBE, optimized geometry)
# Formation enthalpy at 0 K (kJ/mol of formula units): 138
# Spin magnetization (μB/f.u.): 0.0
# N(E_F) (states/eV per atom): 1.20
data_Tb7Mg3Cd
_chemical_formula_sum 'Tb14 Mg6 Cd2'
_symmetry_space_group_name_H-M 'I m m m'
_symmetry_Int_Tables_number 71
_symmetry_space_group_name_Hall '-I 2 2'
_cell_length_a 5.7358
_cell_length_b 10.1104
_cell_length_c 11.3869
_cell_angle_alpha 90.00
_cell_angle_beta 90.00
_cell_angle_gamma 90.00
loop_
_atom_site_label
_atom_site_type_symbol
_atom_site_fract_x
_atom_site_fract_y
_atom_site_fract_z
_atom_site_occupancy
Tb1 Tb 0.0000 0.0000 0.0000 1
Tb2 Tb 0.0000 0.1918 0.5000 1
Tb3 Tb 0.0000 0.3279 0.2273 1
Mg1 Mg 0.0000 0.0000 0.2787 1
Mg2 Mg 0.0000 0.5000 0.0000 1
Cd1 Cd 0.0000 0.5000 0.5000 1

Record 2
# RbLi2Mo (PBE, optimized geometry)
# Distance to the lowest polymorph of the same formula (meV/atom): 67.0
# Formation enthalpy at 0 K (kJ/mol of formula units): 476
# Spin magnetization (μB/f.u.): 4.5
# N(E_F) (states/eV per atom): 0.74
data_RbLi2Mo
_chemical_formula_sum 'Rb4 Li8 Mo4'
_symmetry_space_group_name_H-M 'I -4 2 d'
_symmetry_Int_Tables_number 122
_symmetry_space_group_name_Hall 'I -4 2bw'
_cell_length_a 8.5199
_cell_length_b 8.5199
_cell_length_c 7.0388
_cell_angle_alpha 90.00
_cell_angle_beta 90.00
_cell_angle_gamma 90.00
loop_
_atom_site_label
_atom_site_type_symbol
_atom_site_fract_x
_atom_site_fract_y
_atom_site_fract_z
_atom_site_occupancy
Rb1 Rb 0.0000 0.0000 0.0000 1
Li1 Li 0.2006 0.7500 0.6250 1
Mo1 Mo 0.0000 0.0000 0.5000 1

Record 3
# TbPmMg6 (PBE, optimized geometry)
# Formation enthalpy at 0 K (kJ/mol of formula units): -65
# Spin magnetization (μB/f.u.): 0.0
# N(E_F) (states/eV per atom): 1.06
data_TbPmMg6
_chemical_formula_sum 'Tb2 Pm2 Mg12'
_symmetry_space_group_name_H-M 'A m m 2'
_symmetry_Int_Tables_number 38
_cell_length_a 5.2021
_cell_length_b 6.7474
_cell_length_c 11.6714
_cell_angle_alpha 90.00
_cell_angle_beta 90.00
_cell_angle_gamma 90.00
loop_
_symmetry_equiv_pos_as_xyz
'x,y,z'
'-x,-y,z'
'-x,y,z'
'x,-y,z'
'x,y+1/2,z+1/2'
'-x,-y+1/2,z+1/2'
'-x,y+1/2,z+1/2'
'x,-y+1/2,z+1/2'
loop_
_atom_site_label
_atom_site_type_symbol
_atom_site_fract_x
_atom_site_fract_y
_atom_site_fract_z
_atom_site_occupancy
Tb1 Tb 0.0000 0.0000 0.0000 1
Pm1 Pm 0.5000 0.0000 0.6675 1
Mg1 Mg 0.0000 0.0000 0.4958 1
Mg2 Mg 0.0000 0.2426 0.2524 1
Mg3 Mg 0.5000 0.0000 0.1700 1
Mg4 Mg 0.5000 0.2452 0.4159 1

Record 4
# Pm4GePSe2 (PBE, optimized geometry)
# Final energy (eV per cell): -48.9
# Spin magnetization (μB/f.u.): 0.0
# N(E_F) (states/eV per atom): 0.17
data_Pm4GePSe2
_chemical_formula_sum 'Pm4 Ge1 P1 Se2'
_symmetry_space_group_name_H-M 'P 1 2/m 1'
_symmetry_Int_Tables_number 10
_cell_length_a 7.2716
_cell_length_b 4.2031
_cell_length_c 7.3240
_cell_angle_alpha 90.00
_cell_angle_beta 109.31
_cell_angle_gamma 90.00
loop_
_symmetry_equiv_pos_as_xyz
'x,y,z'
'-x,-y,-z'
'-x,y,-z'
'x,-y,z'
loop_
_atom_site_label
_atom_site_type_symbol
_atom_site_fract_x
_atom_site_fract_y
_atom_site_fract_z
_atom_site_occupancy
Pm1 Pm 0.2427 0.0000 0.2340 1
Pm2 Pm 0.2522 0.5000 0.7623 1
Ge1 Ge 0.5000 0.0000 0.0000 1
P1 P 0.0000 0.5000 0.0000 1
Se1 Se 0.0000 0.0000 0.5000 1
Se2 Se 0.5000 0.5000 0.5000 1

Record 5
# ZnCuIrRh (PBE, optimized geometry)
# Formation enthalpy at 0 K (kJ/mol of formula units): 3
# Spin magnetization (μB/f.u.): 0.0
# N(E_F) (states/eV per atom): 1.91
data_ZnCuIrRh
_chemical_formula_sum 'Zn4 Cu4 Ir4 Rh4'
_symmetry_space_group_name_H-M 'F -4 3 m'
_symmetry_Int_Tables_number 216
_symmetry_space_group_name_Hall 'F -4 2 3'
_cell_length_a 6.0159
_cell_length_b 6.0159
_cell_length_c 6.0159
_cell_angle_alpha 90.00
_cell_angle_beta 90.00
_cell_angle_gamma 90.00
loop_
_atom_site_label
_atom_site_type_symbol
_atom_site_fract_x
_atom_site_fract_y
_atom_site_fract_z
_atom_site_occupancy
Zn1 Zn 0.0000 0.0000 0.0000 1
Cu1 Cu 0.0000 0.0000 0.5000 1
Ir1 Ir 0.2500 0.2500 0.2500 1
Rh1 Rh 0.2500 0.2500 0.7500 1

Record 6
# ErTm2Lu (PBE, optimized geometry)
# Distance to the lowest polymorph of the same formula (meV/atom): 0.0
# Formation enthalpy at 0 K (kJ/mol of formula units): 11
# Spin magnetization (μB/f.u.): 0.0
# N(E_F) (states/eV per atom): 1.32
data_ErTm2Lu
_chemical_formula_sum 'Er1 Tm2 Lu1'
_symmetry_space_group_name_H-M 'P 4/m m m'
_symmetry_Int_Tables_number 123
_symmetry_space_group_name_Hall '-P 4 2'
_cell_length_a 3.4776
_cell_length_b 3.4776
_cell_length_c 9.8506
_cell_angle_alpha 90.00
_cell_angle_beta 90.00
_cell_angle_gamma 90.00
loop_
_atom_site_label
_atom_site_type_symbol
_atom_site_fract_x
_atom_site_fract_y
_atom_site_fract_z
_atom_site_occupancy
Er1 Er 0.0000 0.0000 0.0000 1
Tm1 Tm 0.5000 0.5000 0.2513 1
Lu1 Lu 0.0000 0.0000 0.5000 1

Which of these has the highest spin magnetization? RbLi2Mo